# 1
The following is a DFT calculation (GGA-PBEsol) of an optimized crystal structure of CrMo2W.

```
CrMo2W
1.0
3.072 0.000 0.000
0.000 4.335 0.000
0.000 0.000 8.668
Cr Mo W
2 4 2
direct
0.000 0.000 0.000
0.500 0.500 0.500
0.000 0.500 0.253
0.000 0.500 0.747
0.500 0.000 0.247
0.500 0.000 0.753
0.000 0.000 0.500
0.500 0.500 0.000
```

SG: No. 71
ΔH_f (0 K) (eV per formula unit): 0.255
ΔE to the lowest computed polymorph (eV per atom): 0.010
M_tot (μB/f.u.): 0.00
Electronic total energy (eV/f.u.): -47.33

# 2
The following is a DFT calculation (GGA-PBEsol) of an optimized crystal structure of CrMoW2.

```
CrMoW2
1.0
2.682 0.000 0.000
0.000 4.342 0.000
-0.890 0.000 5.015
Cr Mo W
1 1 2
direct
0.000 0.000 0.000
0.753 0.500 0.247
0.247 0.500 0.758
0.504 0.000 0.500
```

SG: No. 6
ΔH_f (0 K) (eV per formula unit): 0.338
ΔE to the lowest computed polymorph (eV per atom): 0.040
M_tot (μB/f.u.): 0.00
Electronic total energy (eV/f.u.): -49.29

# 3
The following is a DFT calculation (GGA-PBEsol) of an optimized crystal structure of CrMo2W.

```
CrMo2W
1.0
3.079 0.000 0.000
0.000 4.374 0.000
0.000 0.000 8.585
Cr Mo W
2 4 2
direct
0.000 0.000 0.000
0.500 0.500 0.000
0.000 0.500 0.237
0.000 0.500 0.763
0.500 0.000 0.237
0.500 0.000 0.763
0.000 0.000 0.500
0.500 0.500 0.500
```

SG: No. 65
ΔH_f (0 K) (eV per formula unit): 0.298
ΔE to the lowest computed polymorph (eV per atom): 0.021
M_tot (μB/f.u.): 0.00
Electronic total energy (eV/f.u.): -47.29

# 4
The following is a DFT calculation (GGA-PBEsol) of an optimized crystal structure of CrMoW2.

```
CrMoW2
1.0
6.152 0.000 0.000
0.000 6.152 0.000
0.000 0.000 6.152
Cr Mo W
4 4 8
direct
0.000 0.000 0.000
0.000 0.500 0.500
0.500 0.000 0.500
0.500 0.500 0.000
0.250 0.250 0.750
0.250 0.750 0.250
0.750 0.250 0.250
0.750 0.750 0.750
0.000 0.000 0.500
0.000 0.500 0.000
0.250 0.250 0.250
0.250 0.750 0.750
0.500 0.000 0.000
0.500 0.500 0.500
0.750 0.250 0.750
0.750 0.750 0.250
```

SG: No. 216
ΔH_f (0 K) (eV per formula unit): 0.282
ΔE to the lowest computed polymorph (eV per atom): 0.025
M_tot (μB/f.u.): 0.00
Electronic total energy (eV/f.u.): -49.34

# 5
The following is a DFT calculation (GGA-PBEsol) of an optimized crystal structure of CrMoW.

```
CrMoW
1.0
3.048 0.000 0.000
0.000 3.048 0.000
0.000 0.000 9.113
Cr Mo W
2 2 2
direct
0.000 0.000 0.000
0.500 0.500 0.500
0.000 0.000 0.662
0.500 0.500 0.162
0.000 0.000 0.338
0.500 0.500 0.838
```

SG: No. 107
ΔH_f (0 K) (eV per formula unit): 0.209
ΔE to the lowest computed polymorph (eV per atom): 0.000
M_tot (μB/f.u.): 0.00
Electronic total energy (eV/f.u.): -35.61

# 6
The following is a DFT calculation (GGA-PBEsol) of an optimized crystal structure of CrMo2W.

```
CrMo2W
1.0
3.076 0.000 0.000
0.000 4.377 0.000
0.000 0.000 8.584
Cr Mo W
2 4 2
direct
0.000 0.000 0.000
0.500 0.500 0.000
0.000 0.000 0.498
0.000 0.500 0.237
0.500 0.000 0.237
0.500 0.500 0.498
0.000 0.500 0.761
0.500 0.000 0.761
```

SG: No. 35
ΔH_f (0 K) (eV per formula unit): 0.291
ΔE to the lowest computed polymorph (eV per atom): 0.019
M_tot (μB/f.u.): 0.00
Electronic total energy (eV/f.u.): -47.29

# 7
The following is a DFT calculation (GGA-PBEsol) of an optimized crystal structure of CrMoW.

```
CrMoW
1.0
3.061 0.000 0.000
0.000 4.354 0.000
0.000 0.000 12.761
Cr Mo W
4 4 4
direct
0.000 0.000 0.000
0.000 0.500 0.500
0.500 0.000 0.500
0.500 0.500 0.000
0.000 0.000 0.660
0.000 0.500 0.160
0.500 0.000 0.160
0.500 0.500 0.660
0.000 0.000 0.338
0.000 0.500 0.838
0.500 0.000 0.838
0.500 0.500 0.338
```

SG: No. 42
ΔH_f (0 K) (eV per formula unit): 0.277
ΔE to the lowest computed polymorph (eV per atom): 0.023
M_tot (μB/f.u.): 0.00
Electronic total energy (eV/f.u.): -35.54

# 8
The following is a DFT calculation (GGA-PBEsol) of an optimized crystal structure of CrMoW2.

```
CrMoW2
1.0
3.083 0.000 0.000
0.000 4.380 0.000
0.000 0.000 8.642
Cr Mo W
2 2 4
direct
0.000 0.000 0.000
0.500 0.500 0.500
0.000 0.000 0.500
0.500 0.500 0.000
0.000 0.500 0.253
0.000 0.500 0.747
0.500 0.000 0.247
0.500 0.000 0.753
```

SG: No. 71
ΔH_f (0 K) (eV per formula unit): 0.302
ΔE to the lowest computed polymorph (eV per atom): 0.031
M_tot (μB/f.u.): 0.00
Electronic total energy (eV/f.u.): -49.32

# 9
The following is a DFT calculation (GGA-PBEsol) of an optimized crystal structure of CrMoW2.

```
CrMoW2
1.0
2.682 0.000 0.000
0.000 4.330 0.000
-0.863 0.000 5.030
Cr Mo W
1 1 2
direct
0.000 0.000 0.000
0.500 0.000 0.500
0.248 0.500 0.755
0.752 0.500 0.245
```

SG: No. 10
ΔH_f (0 K) (eV per formula unit): 0.333
ΔE to the lowest computed polymorph (eV per atom): 0.038
M_tot (μB/f.u.): 0.00
Electronic total energy (eV/f.u.): -49.29

# 10
The following is a DFT calculation (GGA-PBEsol) of an optimized crystal structure of CrMo2W.

```
CrMo2W
1.0
2.674 0.000 0.000
0.000 4.320 0.000
-0.870 0.000 5.013
Cr Mo W
1 2 1
direct
0.000 0.000 0.000
0.505 0.000 0.500
0.752 0.500 0.248
0.250 0.500 0.757
```

SG: No. 6
ΔH_f (0 K) (eV per formula unit): 0.318
ΔE to the lowest computed polymorph (eV per atom): 0.026
M_tot (μB/f.u.): 0.00
Electronic total energy (eV/f.u.): -47.27

# 11
The following is a DFT calculation (GGA-PBEsol) of an optimized crystal structure of CrMo2W.

```
CrMo2W
1.0
3.065 0.000 0.000
0.000 3.065 0.000
0.000 0.000 6.131
Cr Mo W
1 2 1
direct
0.000 0.000 0.000
0.000 0.000 0.498
0.500 0.500 0.241
0.500 0.500 0.760
```

SG: No. 99
ΔH_f (0 K) (eV per formula unit): 0.222
ΔE to the lowest computed polymorph (eV per atom): 0.002
M_tot (μB/f.u.): 0.00
Electronic total energy (eV/f.u.): -47.36

# 12
The following is a DFT calculation (GGA-PBEsol) of an optimized crystal structure of YCrMo2.

```
YCrMo2
1.0
9.528 0.000 0.000
0.000 3.161 0.000
-1.854 0.000 4.755
Y Cr Mo
2 2 4
direct
0.000 0.000 0.000
0.500 0.500 0.000
0.275 0.500 0.344
0.775 0.000 0.344
0.218 0.000 0.658
0.486 0.000 0.486
0.718 0.500 0.658
0.986 0.500 0.486
```

SG: No. 8
ΔH_f (0 K) (eV per formula unit): 2.023
ΔE to the lowest computed polymorph (eV per atom): 0.154
M_tot (μB/f.u.): 0.00
Electronic total energy (eV/f.u.): -38.58